Record 1
The following is a DFT calculation (SCAN) of MoIr3 at its PBEsol-relaxed geometry.

Unit cell a=5.455 b=5.455 c=8.831 alpha=90.00 beta=90.00 gamma=120.00
Fractional positions:
1 Mo 0.000 0.000 0.000
2 Mo 0.000 0.000 0.500
3 Mo 0.333 0.667 0.250
4 Mo 0.667 0.333 0.750
5 Ir 0.000 0.500 0.000
6 Ir 0.000 0.500 0.500
7 Ir 0.169 0.338 0.750
8 Ir 0.169 0.831 0.750
9 Ir 0.338 0.169 0.250
10 Ir 0.500 0.000 0.000
11 Ir 0.500 0.000 0.500
12 Ir 0.500 0.500 0.000
13 Ir 0.500 0.500 0.500
14 Ir 0.662 0.831 0.750
15 Ir 0.831 0.169 0.250
16 Ir 0.831 0.662 0.250

Summary:
calculated total energy: -4.5867 Ry per atom
total moment: 0.0 μB per formula unit
density: 19.6 g/cm3

=====

Record 2
The following is a DFT calculation (SCAN) of K2BeBH at its PBEsol-relaxed geometry.

Unit cell a=5.688 b=5.688 c=3.096 alpha=90.00 beta=90.00 gamma=90.00
Fractional positions:
1 K 0.000 0.500 0.000
2 K 0.500 0.000 0.000
3 Be 0.000 0.000 0.500
4 B 0.500 0.500 0.500
5 H 0.500 0.500 0.000

Summary:
calculated total energy: -0.3893 Ry per atom
total moment: 1.3 μB per formula unit
density: 1.6 g/cm3

=====

Record 3
The following is a DFT calculation (SCAN) of MnNiCl2 at its PBEsol-relaxed geometry.

Unit cell a=6.295 b=6.295 c=6.295 alpha=90.00 beta=90.00 gamma=90.00
Fractional positions:
1 Mn 0.000 0.000 0.000
2 Mn 0.000 0.500 0.500
3 Mn 0.500 0.000 0.500
4 Mn 0.500 0.500 0.000
5 Ni 0.250 0.250 0.750
6 Ni 0.250 0.750 0.250
7 Ni 0.750 0.250 0.250
8 Ni 0.750 0.750 0.750
9 Cl 0.000 0.000 0.500
10 Cl 0.000 0.500 0.000
11 Cl 0.250 0.250 0.250
12 Cl 0.250 0.750 0.750
13 Cl 0.500 0.000 0.000
14 Cl 0.500 0.500 0.500
15 Cl 0.750 0.250 0.750
16 Cl 0.750 0.750 0.250

Summary:
formation energy without anion corrections: 222 meV/atom
calculated total energy: -0.9095 Ry per atom
total moment: 5.1 μB per formula unit
density: 4.9 g/cm3